# 1
DFT (PBE-GGA) results for crystalline YSb2Rh at its relaxed geometry.

## Properties
- total magnetization (μB per atom) = 0.0000
- E_form (uncorrected) (eV per atom) = -0.28
- calculated density (g/cm³) = 7.86
- symmetry = No. 216
- VASP energy (eV per cell) = -92.791
- volume (Å³/cell) = 367.9
- crystal system = cubic

Cell and atoms, written as CIF:
```
data_YSb2Rh
_cell_length_a 7.165
_cell_length_b 7.165
_cell_length_c 7.165
_cell_angle_alpha 90.00
_cell_angle_beta 90.00
_cell_angle_gamma 90.00
_symmetry_space_group_name_H-M 'P 1'
_symmetry_Int_Tables_number 1
loop_
_symmetry_equiv_pos_as_xyz
'x,y,z'
loop_
_atom_site_label
_atom_site_type_symbol
_atom_site_fract_x
_atom_site_fract_y
_atom_site_fract_z
Y1 Y 0.000 0.000 0.000
Y2 Y 0.000 0.500 0.500
Y3 Y 0.500 0.000 0.500
Y4 Y 0.500 0.500 0.000
Sb1 Sb 0.000 0.000 0.500
Sb2 Sb 0.000 0.500 0.000
Sb3 Sb 0.250 0.250 0.250
Sb4 Sb 0.250 0.750 0.750
Sb5 Sb 0.500 0.000 0.000
Sb6 Sb 0.500 0.500 0.500
Sb7 Sb 0.750 0.250 0.750
Sb8 Sb 0.750 0.750 0.250
Rh1 Rh 0.250 0.250 0.750
Rh2 Rh 0.250 0.750 0.250
Rh3 Rh 0.750 0.250 0.250
Rh4 Rh 0.750 0.750 0.750
```

=====

# 2
DFT (PBE-GGA) results for crystalline YSb2Rh at its relaxed geometry.

## Properties
- total magnetization (μB per atom) = 0.0000
- E_form (uncorrected) (eV per atom) = -0.44
- calculated density (g/cm³) = 7.50
- symmetry = No. 6
- VASP energy (eV per cell) = -23.811
- volume (Å³/cell) = 96.4
- crystal system = monoclinic

Cell and atoms, written as CIF:
```
data_YSb2Rh
_cell_length_a 3.393
_cell_length_b 4.875
_cell_length_c 6.069
_cell_angle_alpha 90.00
_cell_angle_beta 106.13
_cell_angle_gamma 90.00
_symmetry_space_group_name_H-M 'P 1'
_symmetry_Int_Tables_number 1
loop_
_symmetry_equiv_pos_as_xyz
'x,y,z'
loop_
_atom_site_label
_atom_site_type_symbol
_atom_site_fract_x
_atom_site_fract_y
_atom_site_fract_z
Y1 Y 0.000 0.000 0.000
Sb1 Sb 0.416 0.500 0.831
Sb2 Sb 0.726 0.000 0.453
Rh1 Rh 0.640 0.500 0.284
```

=====

# 3
DFT (PBE-GGA) results for crystalline Y2SbRh at its relaxed geometry.

## Properties
- total magnetization (μB per atom) = 0.0000
- E_form (uncorrected) (eV per atom) = -0.81
- calculated density (g/cm³) = 7.02
- symmetry = No. 65
- VASP energy (eV per cell) = -55.289
- volume (Å³/cell) = 190.3
- crystal system = orthorhombic

Cell and atoms, written as CIF:
```
data_Y2SbRh
_cell_length_a 5.020
_cell_length_b 5.034
_cell_length_c 7.531
_cell_angle_alpha 90.00
_cell_angle_beta 90.00
_cell_angle_gamma 90.00
_symmetry_space_group_name_H-M 'P 1'
_symmetry_Int_Tables_number 1
loop_
_symmetry_equiv_pos_as_xyz
'x,y,z'
loop_
_atom_site_label
_atom_site_type_symbol
_atom_site_fract_x
_atom_site_fract_y
_atom_site_fract_z
Y1 Y 0.000 0.000 0.221
Y2 Y 0.000 0.000 0.779
Y3 Y 0.500 0.500 0.221
Y4 Y 0.500 0.500 0.779
Sb1 Sb 0.000 0.500 0.500
Sb2 Sb 0.500 0.000 0.500
Rh1 Rh 0.000 0.500 0.000
Rh2 Rh 0.500 0.000 0.000
```

=====

# 4
DFT (PBE-GGA) results for crystalline Y2SbRh at its relaxed geometry.

## Properties
- total magnetization (μB per atom) = 0.0000
- E_form (uncorrected) (eV per atom) = -0.93
- calculated density (g/cm³) = 6.82
- symmetry = No. 38
- VASP energy (eV per cell) = -56.233
- volume (Å³/cell) = 196.0
- crystal system = orthorhombic

Cell and atoms, written as CIF:
```
data_Y2SbRh
_cell_length_a 4.349
_cell_length_b 4.046
_cell_length_c 11.138
_cell_angle_alpha 90.00
_cell_angle_beta 90.00
_cell_angle_gamma 90.00
_symmetry_space_group_name_H-M 'P 1'
_symmetry_Int_Tables_number 1
loop_
_symmetry_equiv_pos_as_xyz
'x,y,z'
loop_
_atom_site_label
_atom_site_type_symbol
_atom_site_fract_x
_atom_site_fract_y
_atom_site_fract_z
Y1 Y 0.000 0.000 0.000
Y2 Y 0.000 0.500 0.500
Y3 Y 0.500 0.000 0.291
Y4 Y 0.500 0.500 0.791
Sb1 Sb 0.000 0.000 0.716
Sb2 Sb 0.000 0.500 0.216
Rh1 Rh 0.500 0.000 0.549
Rh2 Rh 0.500 0.500 0.049
```

=====

# 5
DFT (PBE-GGA) results for crystalline YSb2Rh at its relaxed geometry.

## Properties
- total magnetization (μB per atom) = 0.0000
- E_form (uncorrected) (eV per atom) = -0.64
- calculated density (g/cm³) = 7.42
- symmetry = No. 10
- VASP energy (eV per cell) = -24.617
- volume (Å³/cell) = 97.4
- crystal system = monoclinic

Cell and atoms, written as CIF:
```
data_YSb2Rh
_cell_length_a 4.840
_cell_length_b 4.286
_cell_length_c 4.858
_cell_angle_alpha 90.00
_cell_angle_beta 104.83
_cell_angle_gamma 90.00
_symmetry_space_group_name_H-M 'P 1'
_symmetry_Int_Tables_number 1
loop_
_symmetry_equiv_pos_as_xyz
'x,y,z'
loop_
_atom_site_label
_atom_site_type_symbol
_atom_site_fract_x
_atom_site_fract_y
_atom_site_fract_z
Y1 Y 0.000 0.000 0.000
Sb1 Sb 0.298 0.500 0.703
Sb2 Sb 0.702 0.500 0.297
Rh1 Rh 0.500 0.000 0.500
```

=====

# 6
DFT (PBE-GGA) results for crystalline Y2SbRh at its relaxed geometry.

## Properties
- total magnetization (μB per atom) = 0.0000
- E_form (uncorrected) (eV per atom) = -0.43
- calculated density (g/cm³) = 6.82
- symmetry = No. 99
- VASP energy (eV per cell) = -26.120
- volume (Å³/cell) = 98.0
- crystal system = tetragonal

Cell and atoms, written as CIF:
```
data_Y2SbRh
_cell_length_a 3.453
_cell_length_b 3.453
_cell_length_c 8.216
_cell_angle_alpha 90.00
_cell_angle_beta 90.00
_cell_angle_gamma 90.00
_symmetry_space_group_name_H-M 'P 1'
_symmetry_Int_Tables_number 1
loop_
_symmetry_equiv_pos_as_xyz
'x,y,z'
loop_
_atom_site_label
_atom_site_type_symbol
_atom_site_fract_x
_atom_site_fract_y
_atom_site_fract_z
Y1 Y 0.000 0.000 0.000
Y2 Y 0.500 0.500 0.343
Sb1 Sb 0.500 0.500 0.736
Rh1 Rh 0.000 0.000 0.574
```

=====

# 7
DFT (PBE-GGA) results for crystalline Y2SbRh at its relaxed geometry.

## Properties
- total magnetization (μB per atom) = 0.0000
- E_form (uncorrected) (eV per atom) = -0.70
- calculated density (g/cm³) = 6.22
- symmetry = No. 99
- VASP energy (eV per cell) = -27.207
- volume (Å³/cell) = 107.4
- crystal system = tetragonal

Cell and atoms, written as CIF:
```
data_Y2SbRh
_cell_length_a 4.170
_cell_length_b 4.170
_cell_length_c 6.174
_cell_angle_alpha 90.00
_cell_angle_beta 90.00
_cell_angle_gamma 90.00
_symmetry_space_group_name_H-M 'P 1'
_symmetry_Int_Tables_number 1
loop_
_symmetry_equiv_pos_as_xyz
'x,y,z'
loop_
_atom_site_label
_atom_site_type_symbol
_atom_site_fract_x
_atom_site_fract_y
_atom_site_fract_z
Y1 Y 0.000 0.000 0.000
Y2 Y 0.500 0.500 0.377
Sb1 Sb 0.500 0.500 0.873
Rh1 Rh 0.000 0.000 0.434
```

=====

# 8
DFT (PBE-GGA) results for crystalline YSbRh3 at its relaxed geometry.

## Properties
- total magnetization (μB per atom) = 0.0000
- E_form (uncorrected) (eV per atom) = 0.08
- calculated density (g/cm³) = 7.71
- symmetry = No. 221
- excess energy over the best structure of this formula in the dataset (eV per formula unit) = 3.20
- VASP energy (eV per cell) = -32.255
- volume (Å³/cell) = 111.9
- crystal system = cubic

Cell and atoms, written as CIF:
```
data_YSbRh3
_cell_length_a 4.819
_cell_length_b 4.819
_cell_length_c 4.819
_cell_angle_alpha 90.00
_cell_angle_beta 90.00
_cell_angle_gamma 90.00
_symmetry_space_group_name_H-M 'P 1'
_symmetry_Int_Tables_number 1
loop_
_symmetry_equiv_pos_as_xyz
'x,y,z'
loop_
_atom_site_label
_atom_site_type_symbol
_atom_site_fract_x
_atom_site_fract_y
_atom_site_fract_z
Y1 Y 0.000 0.000 0.000
Sb1 Sb 0.500 0.500 0.500
Rh1 Rh 0.000 0.500 0.500
Rh2 Rh 0.500 0.000 0.500
Rh3 Rh 0.500 0.500 0.000
```

=====

# 9
DFT (PBE-GGA) results for crystalline Y2SbRh3 at its relaxed geometry.

## Properties
- total magnetization (μB per atom) = 0.0000
- E_form (uncorrected) (eV per atom) = -0.86
- calculated density (g/cm³) = 8.76
- symmetry = No. 194
- VASP energy (eV per cell) = -88.531
- volume (Å³/cell) = 230.6
- crystal system = hexagonal

Cell and atoms, written as CIF:
```
data_Y2SbRh3
_cell_length_a 5.646
_cell_length_b 5.646
_cell_length_c 8.355
_cell_angle_alpha 90.00
_cell_angle_beta 90.00
_cell_angle_gamma 120.00
_symmetry_space_group_name_H-M 'P 1'
_symmetry_Int_Tables_number 1
loop_
_symmetry_equiv_pos_as_xyz
'x,y,z'
loop_
_atom_site_label
_atom_site_type_symbol
_atom_site_fract_x
_atom_site_fract_y
_atom_site_fract_z
Y1 Y 0.333 0.667 0.063
Y2 Y 0.333 0.667 0.437
Y3 Y 0.667 0.333 0.563
Y4 Y 0.667 0.333 0.937
Sb1 Sb 0.000 0.000 0.000
Sb2 Sb 0.000 0.000 0.500
Rh1 Rh 0.173 0.346 0.750
Rh2 Rh 0.173 0.827 0.750
Rh3 Rh 0.346 0.173 0.250
Rh4 Rh 0.654 0.827 0.750
Rh5 Rh 0.827 0.173 0.250
Rh6 Rh 0.827 0.654 0.250
```

=====

# 10
DFT (PBE-GGA) results for crystalline YSb2Rh at its relaxed geometry.

## Properties
- total magnetization (μB per atom) = 0.0001
- E_form (uncorrected) (eV per atom) = -0.44
- calculated density (g/cm³) = 7.95
- symmetry = No. 65
- VASP energy (eV per cell) = -47.650
- volume (Å³/cell) = 182.0
- crystal system = orthorhombic

Cell and atoms, written as CIF:
```
data_YSb2Rh
_cell_length_a 4.398
_cell_length_b 5.598
_cell_length_c 7.391
_cell_angle_alpha 90.00
_cell_angle_beta 90.00
_cell_angle_gamma 90.00
_symmetry_space_group_name_H-M 'P 1'
_symmetry_Int_Tables_number 1
loop_
_symmetry_equiv_pos_as_xyz
'x,y,z'
loop_
_atom_site_label
_atom_site_type_symbol
_atom_site_fract_x
_atom_site_fract_y
_atom_site_fract_z
Y1 Y 0.000 0.000 0.000
Y2 Y 0.500 0.500 0.000
Sb1 Sb 0.000 0.500 0.287
Sb2 Sb 0.000 0.500 0.713
Sb3 Sb 0.500 0.000 0.287
Sb4 Sb 0.500 0.000 0.713
Rh1 Rh 0.000 0.000 0.500
Rh2 Rh 0.500 0.500 0.500
```